{
  "formula": "Ti2Al2Tl",
  "functional": "PBE-GGA",
  "state": "optimized geometry",
  "lattice_angstrom": [[-0.702, -7.551, 1.803], [2.342, 1.520, 7.278], [-2.974, 0.481, 0.857]],
  "species": ["Ti", "Ti", "Ti", "Ti", "Al", "Al", "Al", "Al", "Tl", "Tl"],
  "frac_coords": [[0.119, 0.381, 0.000], [0.881, 0.619, 0.000], [0.381, 0.881, 0.000], [0.619, 0.119, 0.000], [0.678, 0.822, 0.500], [0.822, 0.322, 0.500], [0.322, 0.178, 0.500], [0.178, 0.678, 0.500], [0.500, 0.500, 0.000], [0.000, 0.000, 0.000]],
  "total_energy_ha_per_atom": -0.1876,
  "e_above_lowest_polymorph_mev_per_atom": 44,
  "magnetic_moment_mub_per_fu": 0.9,
  "ef_ev_per_fu": 0.11
}

{
  "formula": "Pr3Sm2Sn4",
  "functional": "PBE-GGA",
  "state": "optimized geometry",
  "lattice_angstrom": [[-3.545, 0.487, -3.405], [-2.114, -2.443, 5.434], [-1.051, 9.904, 2.511]],
  "species": ["Sn", "Sn", "Sn", "Sn", "Pr", "Pr", "Pr", "Sm", "Sm"],
  "frac_coords": [[0.349, 0.699, 0.883], [0.910, 0.820, 0.371], [0.651, 0.301, 0.117], [0.090, 0.180, 0.629], [0.375, 0.750, 0.582], [0.000, 0.000, 0.000], [0.625, 0.250, 0.418], [0.325, 0.649, 0.185], [0.675, 0.351, 0.815]],
  "total_energy_ha_per_atom": -0.1848,
  "e_above_lowest_polymorph_mev_per_atom": 161,
  "magnetic_moment_mub_per_fu": 0.4,
  "ef_ev_per_fu": -5.46
}

{
  "formula": "Si3Ir2",
  "functional": "PBE-GGA",
  "state": "optimized geometry",
  "lattice_angstrom": [[-0.283, -6.571, 4.834], [-0.346, -1.134, 6.541], [-3.929, -4.124, -0.156]],
  "species": ["Ir", "Ir", "Ir", "Ir", "Si", "Si", "Si", "Si", "Si", "Si"],
  "frac_coords": [[0.538, 0.294, 0.018], [0.150, 0.018, 0.294], [0.232, 0.100, 0.712], [0.956, 0.712, 0.100], [0.549, 0.040, 0.728], [0.830, 0.170, 0.170], [0.683, 0.728, 0.040], [0.080, 0.420, 0.420], [0.210, 0.701, 0.567], [0.522, 0.567, 0.701]],
  "total_energy_ha_per_atom": -0.2643,
  "e_form_raw_ev_per_atom": -0.3927,
  "magnetic_moment_mub_per_fu": 0.0
}

{
  "formula": "KCuPPd2",
  "functional": "PBE-GGA",
  "state": "optimized geometry",
  "lattice_angstrom": [[4.701, 0.000, 0.000], [0.000, 4.701, 0.000], [0.000, 0.000, 4.496]],
  "species": ["P", "Pd", "Pd", "Cu", "K"],
  "frac_coords": [[0.000, 0.000, 0.000], [0.000, 0.500, 0.000], [0.500, 0.000, 0.000], [0.000, 0.000, 0.500], [0.500, 0.500, 0.500]],
  "total_energy_ha_per_atom": -0.1608,
  "magnetic_moment_mub_per_fu": 0.0,
  "ef_ev_per_fu": -0.89
}